Entry 1:
DFT (meta-GGA SCAN) results for AgPt2Se at its PBEsol-relaxed geometry.

```
AgPt2Se
1.0
-1.878 2.077 3.532
-2.968 -2.194 2.589
1.130 -1.214 4.191
Pt Ag Se
2 1 1
Direct
0.750 0.750 0.750
0.000 0.000 0.000
0.500 0.500 0.500
0.250 0.250 0.250
```

D(E_F)   2.13 states/eV/cell
Space group   No. 216
Uncorrected formation energy   1.37 eV per formula unit
Energy   -190.5 eV/cell

Entry 2:
DFT (meta-GGA SCAN) results for Ag2PtSe at its PBEsol-relaxed geometry.

```
Ag2PtSe
1.0
-1.101 -1.658 -3.561
-0.091 -3.687 1.744
-3.261 3.213 1.849
Pt Ag Se
1 2 1
Direct
0.500 0.500 0.000
0.000 0.000 0.000
0.750 0.250 0.500
0.250 0.750 0.500
```

D(E_F)   1.69 states/eV/cell
Space group   No. 119
Uncorrected formation energy   0.75 eV per formula unit
Energy   -152.3 eV/cell

Entry 3:
DFT (meta-GGA SCAN) results for Ag2PtSe at its PBEsol-relaxed geometry.

```
Ag2PtSe
1.0
2.949 0.000 0.000
0.000 3.868 0.000
0.000 0.000 5.881
Ag Se Pt
2 1 1
Direct
0.000 0.000 0.013
0.500 0.500 0.251
0.500 0.500 0.715
0.000 0.000 0.520
```

D(E_F)   1.57 states/eV/cell
Space group   No. 25
Uncorrected formation energy   0.58 eV per formula unit
Energy   -152.4 eV/cell

Entry 4:
DFT (meta-GGA SCAN) results for AgPt2Se at its PBEsol-relaxed geometry.

```
AgPt2Se
1.0
-1.459 -2.225 0.881
0.666 0.255 -2.710
8.055 -4.673 1.540
Ag Se Pt
1 1 2
Direct
0.500 0.500 0.000
0.500 0.500 0.500
0.000 0.000 0.253
0.000 0.000 0.747
```

D(E_F)   2.05 states/eV/cell
Space group   No. 65
Uncorrected formation energy   0.98 eV per formula unit
Energy   -190.9 eV/cell